The following is a GGA+U calculation of an optimized crystal structure of Rb2Pu3CrO12, from Alexandria.

CIF file:
```
data_Rb2Pu3CrO12
_chemical_formula_sum 'Rb6 Pu9 Cr3 O36'
_space_group_name_H-M_alt 'R -3 m'
_space_group_IT_number 166
_space_group_name_Hall '-R 3 2"'
_cell_length_a 7.8334
_cell_length_b 7.8334
_cell_length_c 17.6124
_cell_angle_alpha 90.00
_cell_angle_beta 90.00
_cell_angle_gamma 120.00
loop_
_atom_site_label
_atom_site_type_symbol
_atom_site_fract_x
_atom_site_fract_y
_atom_site_fract_z
Rb1 Rb 0.0000 0.0000 0.1314
Pu1 Pu 0.0000 0.5000 0.0000
Cr1 Cr 0.0000 0.0000 0.5000
O1 O 0.0787 0.5393 0.3620
O2 O 0.0876 0.5438 0.1046
```

Properties
density = 6.1 Mg/m³
total DFT energy (no corrections) = -8.539 eV per atom
total magnetization = 0.44 μB/atom
V = 935.95 Å³/cell